Below is a relaxed structure of Co3TeO8, with properties calculated at the PBE with a Hubbard U level.

Output
The value obtained for the total moment is 1.0 μB per formula unit. As for the electronic total energy: -5.679 eV per atom. For the density, the calculation gives 5.66 g/cm³.

Cell lengths 5.6985, 5.6985, 9.0268 Å; angles 90.00, 90.00, 120.00 degrees
With the nearest neighbours (Å) after each atom.
Space group P6_3mc (No. 186)
One atom of each set of equivalent atoms:
Co 0.1703 0.3406 0.0000  6 O 1.85-1.97
Te 0.3333 0.6667 0.2771  6 O 1.94-2.04
O 0.0000 0.0000 0.0866  3 Co 1.85
O 0.0323 0.5162 0.1220  2 Co 1.90, 1 Te 2.04
O 0.1608 0.3216 0.3791  1 Te 1.94, 2 Co 1.97
O 0.3333 0.6667 0.8971  3 Co 1.86